TbYTlOs | the Alexandria database | PBE-GGA | relaxed; Fermi-level density of states = 0.718 states/eV/atom; electronic total energy = -6.32 eV/atom; formation energy from the elements = -146 meV/atom; space-group type = F-43m, No. 216; calculated density = 11.50 g/cm³
1.0
5.0814 0.0000 0.0000
2.5407 4.4006 0.0000
2.5407 1.4669 4.1489
Y Os Tl Tb
1 1 1 1
Cartesian
0.0000 0.0000 0.0000
2.5407 1.4669 1.0372
7.6221 4.4006 3.1117
5.0814 2.9337 2.0745